## ReIr2Au (GGA-PBE)

Data for crystalline ReIr2Au at its relaxed geometry.

Cell lengths 2.7935, 2.7935, 27.4823 Å; angles 90.00, 90.00, 120.00 degrees
Last column: nearest neighbours and their distance in Å.
Space group R-3m (No. 166, hexagonal axes)
Inequivalent atoms, fractional coordinates:
Re 0.0000 0.0000 0.0000  6 Ir 2.67, 6 Re 2.79
Ir 0.0000 0.0000 0.2558  3 Re 2.67, 6 Ir 2.79, 3 Au 2.93
Au 0.0000 0.0000 0.5000  6 Au 2.79, 6 Ir 2.93

The calculation puts the density at 20588 kg/m3. As for the crystal system: trigonal. For the formation energy, the calculation gives 0.047 eV per atom.